(1)
# LiInRh2 (GGA-PBEsol, relaxed)
data_LiInRh2
_chemical_formula_sum 'Li2 In2 Rh4'
_space_group_name_H-M_alt 'C 1 m 1'
_space_group_IT_number 8
_cell_length_a 9.1784
_cell_length_b 2.8870
_cell_length_c 4.5893
_cell_angle_alpha 90.00
_cell_angle_beta 102.00
_cell_angle_gamma 90.00
loop_
_space_group_symop_operation_xyz
'x,y,z'
'x,-y,z'
'x+1/2,y+1/2,z'
'x+1/2,-y+1/2,z'
loop_
_atom_site_label
_atom_site_fract_x
_atom_site_fract_y
_atom_site_fract_z
Li1 0.0000 0.0000 0.0000
In1 0.2627 0.5000 0.2513
Rh1 0.0117 0.5000 0.5310
Rh2 0.2481 0.0000 0.7449
# DFT total energy, eV/atom: -5.49
# Magnetic moment, μB per formula unit: 0.0
# Formation enthalpy at 0 K, eV per atom: -0.18

(2)
# LiInRh2 (GGA-PBEsol, relaxed)
data_LiInRh2
_chemical_formula_sum 'Li1 In1 Rh2'
_space_group_name_H-M_alt 'P 4/m m m'
_space_group_IT_number 123
_space_group_name_Hall '-P 4 2'
_cell_length_a 3.1075
_cell_length_b 3.1075
_cell_length_c 5.9181
_cell_angle_alpha 90.00
_cell_angle_beta 90.00
_cell_angle_gamma 90.00
loop_
_atom_site_label
_atom_site_fract_x
_atom_site_fract_y
_atom_site_fract_z
Li1 0.0000 0.0000 0.0000
In1 0.0000 0.0000 0.5000
Rh1 0.5000 0.5000 0.2282
# DFT total energy, eV/atom: -5.50
# Magnetic moment, μB per formula unit: 0.0
# Formation enthalpy at 0 K, eV per atom: -0.20